Entry from Alexandria: SmHo2Pt9 after structural relaxation (PBE).

Cell lengths 4.129, 4.129, 12.387 Å; angles 90.00, 90.00, 90.00 degrees
Space group P4/mmm (No. 123)
Symmetry-distinct sites (fractional):
Sm1 0.000 0.000 0.000 (multiplicity 1)
Ho1 0.000 0.000 0.335 (multiplicity 2)
Pt1 0.000 0.500 0.171 (multiplicity 4)
Pt2 0.000 0.500 0.500 (multiplicity 2)
Pt3 0.500 0.500 0.000 (multiplicity 1)
Pt4 0.500 0.500 0.335 (multiplicity 2)

Entry from Alexandria: SmHo3Pt2 after structural relaxation (PBE).

Cell lengths 4.780, 8.814, 7.166 Å; angles 90.00, 90.00, 90.00 degrees
Space group Pmc2_1 (No. 26)
Symmetry-distinct sites (fractional):
Sm1 0.000 0.081 0.000 (multiplicity 2)
Ho1 0.000 0.333 0.635 (multiplicity 2)
Ho2 0.500 0.172 0.348 (multiplicity 2)
Ho3 0.500 0.420 0.981 (multiplicity 2)
Pt1 0.000 0.345 0.236 (multiplicity 2)
Pt2 0.500 0.161 0.746 (multiplicity 2)

Entry from Alexandria: Sm3Ho3Pt2 after structural relaxation (PBE).

Cell lengths 3.965, 12.904, 17.539 Å; angles 90.00, 90.00, 90.00 degrees
Space group Cmcm (No. 63)
Symmetry-distinct sites (fractional):
Sm1 0.000 0.048 0.104 (multiplicity 8)
Sm2 0.000 0.340 0.250 (multiplicity 4)
Ho1 0.000 0.344 0.042 (multiplicity 8)
Ho2 0.000 0.389 0.750 (multiplicity 4)
Pt1 0.000 0.257 0.623 (multiplicity 8)

Entry from Alexandria: Sm2Ho3Pt2 after structural relaxation (PBE).

Cell lengths 12.393, 3.764, 9.085 Å; angles 90.00, 116.87, 90.00 degrees
Space group C2/m (No. 12)
Symmetry-distinct sites (fractional):
Sm1 0.162 0.000 0.311 (multiplicity 4)
Ho1 0.000 0.500 0.500 (multiplicity 2)
Ho2 0.116 0.500 0.935 (multiplicity 4)
Pt1 0.170 0.000 0.740 (multiplicity 4)

no.,total DFT energy (no corrections) (eV/f.u.),energy of formation from the pure elements (eV per atom)
1,-80.38,-1.01
2,-36.22,-0.95
3,-44.70,-0.59
4,-40.75,-0.79